No. 1
DFT (PBE-GGA) results for PmSmSb2O8 after structural relaxation.

abc: 6.8743 6.8743 6.8743
angles: 134.17 134.17 66.83
Fractional positions:
Pm  0.0000  0.0000  0.0000
Sm  0.7500  0.2500  0.5000
Sb  0.2500  0.7500  0.5000
Sb  0.5000  0.5000  0.0000
O  0.0865  0.6614  0.0732
O  0.1610  0.2377  0.5745
O  0.3386  0.4118  0.4251
O  0.4135  0.8390  0.0767
O  0.5882  0.0133  0.9268
O  0.6632  0.5865  0.4255
O  0.7623  0.3368  0.9233
O  0.9867  0.9135  0.5749

Crystal system = tetragonal
Size of the total moment = 0.000 μB per formula unit
Formation energy (no corrections) = -2.310 eV per atom

No. 2
DFT (PBE-GGA) results for Sr2Pm4Sb3O2 after structural relaxation.

abc: 13.4622 13.4622 13.4622
angles: 159.30 159.30 29.43
Fractional positions:
Sr  0.1952  0.1952  0.0000
Sr  0.8048  0.8048  0.0000
Pm  0.0805  0.5805  0.5000
Pm  0.4195  0.9195  0.5000
Pm  0.5805  0.0805  0.5000
Pm  0.9195  0.4195  0.5000
Sb  0.3283  0.3283  0.0000
Sb  0.5000  0.5000  0.0000
Sb  0.6717  0.6717  0.0000
O  0.0961  0.0961  0.0000
O  0.9039  0.9039  0.0000

Crystal system = tetragonal
Size of the total moment = 0.000 μB per formula unit
Formation energy (no corrections) = -1.711 eV per atom

Among the records above, which one has the lowest formation energy (no corrections)? PmSmSb2O8

Which value of size of the total moment does entry 2 give? 0.000 μB per formula unit

formation energy (no corrections) of number 2 (Sr2Pm4Sb3O2)? -1.711 eV per atom